Record 1
A plane-wave DFT calculation with GGA-PBE was carried out for a relaxed Zn2OsSe crystal.

The calculation puts the formation energy (no corrections) at 0.22 eV/atom. As for the space group: Pmmm. The crystal system is orthorhombic.

Cell lengths 3.0029, 2.7304, 8.1566 Å; angles 89.98, 90.00, 90.00 degrees
Closest atoms and distances in Å follow each position.
Element x y z (fractional)
Os: 0.5000 0.2500 0.2500  8 Zn 2.67, 2 Os 2.73
Zn: 0.0000 0.7504 0.0381  4 Os 2.67, 2 Zn 2.73, 2 Se 2.79
Zn: 0.0000 0.7496 0.4619  4 Os 2.67, 2 Zn 2.73, 2 Se 2.79
Se: 0.5000 0.7500 0.7500  4 Se 2.73-3.00, 4 Zn 2.79

Record 2
A plane-wave DFT calculation with GGA-PBE was carried out for a relaxed CsYVH2 crystal.

As for the space group: P4/mmm. The calculation puts the total energy at -3.327 eV/atom. The crystal system is tetragonal.

Cell lengths 4.2249, 5.4750, 4.2249 Å; angles 90.00, 90.00, 90.00 degrees
Closest atoms and distances in Å follow each position.
Element x y z (fractional)
V: 0.0000 0.0000 0.0000  4 H 2.11
Y: 0.5000 0.5000 0.5000  4 Cs 2.99
H: 0.5000 0.0000 0.0000  2 V 2.11
H: 0.0000 0.0000 0.5000  2 V 2.11
Cs: 0.0000 0.5000 0.0000  2 V 2.74, 4 Y 2.99

Record 3
A plane-wave DFT calculation with GGA-PBE was carried out for a relaxed SmThP2 crystal.

The value obtained for the polymorph energy (0 for the lowest one) is 41 meV/atom. As for the space group: P6_3/mmc. The crystal system is hexagonal.

Cell lengths 4.1092, 4.1092, 13.5827 Å; angles 90.00, 90.00, 120.00 degrees
Closest atoms and distances in Å follow each position.
Element x y z (fractional)
Sm: 0.3333 0.6667 0.7500  6 P 2.93
Sm: 0.6667 0.3333 0.2500  6 P 2.93
Th: 0.0000 0.0000 0.0000  6 P 2.90
Th: 0.0000 0.0000 0.5000  6 P 2.90
P: 0.6667 0.3333 0.8769  3 Th 2.90, 3 Sm 2.93
P: 0.6667 0.3333 0.6231  3 Th 2.90, 3 Sm 2.93
P: 0.3333 0.6667 0.1231  3 Th 2.90, 3 Sm 2.93
P: 0.3333 0.6667 0.3769  3 Th 2.90, 3 Sm 2.93

Record 4
A plane-wave DFT calculation with GGA-PBE was carried out for a relaxed LuPaBe crystal.

As for the space group: I4mm. The calculation puts the total energy at -5.717 eV/atom. The crystal system is tetragonal.

Cell lengths 3.1399, 3.1399, 6.7413 Å; angles 103.47, 103.47, 90.00 degrees
Closest atoms and distances in Å follow each position.
Element x y z (fractional)
Be: 0.6670 0.6670 0.3339  4 Lu 2.86, 4 Pa 2.86, 4 Be 3.14
Lu: 0.3082 0.3082 0.6165  4 Be 2.86, 4 Lu 3.14
Pa: 0.0248 0.0248 0.0496  4 Be 2.86, 4 Pa 3.14

Record 5
A plane-wave DFT calculation with GGA-PBE was carried out for a relaxed ScInHg crystal.

The value obtained for the polymorph energy (0 for the lowest one) is 76 meV/atom. As for the space group: P4/nmm. The crystal system is tetragonal.

Cell lengths 4.3195, 4.3195, 7.5674 Å; angles 90.00, 90.00, 90.00 degrees
Closest atoms and distances in Å follow each position.
Element x y z (fractional)
Sc: 0.0000 0.5000 0.1727  5 Hg 2.83-3.06
Sc: 0.5000 0.0000 0.8273  5 Hg 2.83-3.06
Hg: 0.5000 0.0000 0.2018  5 Sc 2.83-3.06, 4 In 3.12
Hg: 0.0000 0.5000 0.7982  5 Sc 2.83-3.06, 4 In 3.12
In: 0.0000 0.0000 0.5000  4 In 3.05, 4 Hg 3.12, 4 Sc 3.29
In: 0.5000 0.5000 0.5000  4 In 3.05, 4 Hg 3.12, 4 Sc 3.29

Record 6
A plane-wave DFT calculation with GGA-PBE was carried out for a relaxed PrOsC2 crystal.

The value obtained for the polymorph energy (0 for the lowest one) is 0 meV/atom. As for the space group: Amm2. The crystal system is orthorhombic.

Cell lengths 4.0952, 3.9221, 3.9221 Å; angles 105.12, 90.00, 90.00 degrees
Closest atoms and distances in Å follow each position.
Element x y z (fractional)
Pr: 0.0000 0.0046 0.9954  8 C 2.83-2.94, 2 Os 3.17
C: 0.5000 0.4465 0.8521  1 C 1.42
C: 0.5000 0.1479 0.5535  1 C 1.42
Os: 0.5000 0.6161 0.3839  4 C 2.02-2.11

Record 7
A plane-wave DFT calculation with GGA-PBE was carried out for a relaxed MgRh crystal.

As for the space group: Pnma. The calculation puts the total energy at -4.808 eV/atom. The crystal system is orthorhombic.

Cell lengths 10.0286, 4.6483, 5.3617 Å; angles 90.00, 90.00, 90.00 degrees
Closest atoms and distances in Å follow each position.
Element x y z (fractional)
Mg: 0.0792 0.7500 0.0305  6 Rh 2.65-2.85, 5 Mg 2.75-2.86
Mg: 0.6837 0.2500 0.2266  8 Rh 2.68-2.93, 3 Mg 2.75-2.86
Mg: 0.5792 0.7500 0.4695  6 Rh 2.65-2.85, 5 Mg 2.75-2.86
Mg: 0.1837 0.2500 0.2734  8 Rh 2.68-2.93, 3 Mg 2.75-2.86
Mg: 0.9208 0.2500 0.9695  6 Rh 2.65-2.85, 5 Mg 2.75-2.86
Mg: 0.4208 0.2500 0.5305  6 Rh 2.65-2.85, 5 Mg 2.75-2.86
Mg: 0.3163 0.7500 0.7734  8 Rh 2.68-2.93, 3 Mg 2.75-2.86
Mg: 0.8163 0.7500 0.7266  8 Rh 2.68-2.93, 3 Mg 2.75-2.86
Rh: 0.4336 0.2500 0.0244  6 Mg 2.65-2.93, 5 Rh 2.69-2.86
Rh: 0.8321 0.7500 0.2277  8 Mg 2.68-2.85, 4 Rh 2.84-2.99
Rh: 0.1679 0.2500 0.7723  8 Mg 2.68-2.85, 4 Rh 2.84-2.99
Rh: 0.6679 0.2500 0.7277  8 Mg 2.68-2.85, 4 Rh 2.84-2.99
Rh: 0.9336 0.2500 0.4756  6 Mg 2.65-2.93, 5 Rh 2.69-2.86
Rh: 0.5664 0.7500 0.9756  6 Mg 2.65-2.93, 5 Rh 2.69-2.86
Rh: 0.3321 0.7500 0.2723  8 Mg 2.68-2.85, 4 Rh 2.84-2.99
Rh: 0.0664 0.7500 0.5244  6 Mg 2.65-2.93, 5 Rh 2.69-2.86

Record 8
A plane-wave DFT calculation with GGA-PBE was carried out for a relaxed ScZnAg2 crystal.

As for the space group: P4/mmm. The calculation puts the total energy at -3.494 eV/atom. The crystal system is tetragonal.

Cell lengths 3.3632, 3.3632, 6.4333 Å; angles 90.00, 90.00, 90.01 degrees
Closest atoms and distances in Å follow each position.
Element x y z (fractional)
Sc: 0.5000 0.5000 0.2500  8 Ag 2.93, 2 Zn 3.22
Ag: 0.0000 0.0000 0.5159  4 Zn 2.81-2.82, 4 Sc 2.93, 1 Ag 3.01
Ag: 0.0000 0.0000 0.9841  4 Zn 2.81-2.82, 4 Sc 2.93, 1 Ag 3.01
Zn: 0.5000 0.5000 0.7500  8 Ag 2.81-2.82

Record 9
A plane-wave DFT calculation with GGA-PBE was carried out for a relaxed LaTb6Ho6 crystal.

As for the space group: P6/mmm. The calculation puts the total energy at -4.361 eV/atom. The crystal system is hexagonal.

Cell lengths 6.6366, 6.6366, 11.4741 Å; angles 90.00, 90.00, 120.00 degrees
Closest atoms and distances in Å follow each position.
Element x y z (fractional)
Tb: 0.3333 0.6667 0.5000  6 Ho 3.49, 3 Tb 3.83
Tb: 0.6667 0.3333 0.0000  6 Ho 3.41
Tb: 0.0000 0.0000 0.3521  1 Tb 3.39, 6 Ho 3.53
Tb: 0.3333 0.6667 0.0000  6 Ho 3.41
Tb: 0.0000 0.0000 0.6479  1 Tb 3.39, 6 Ho 3.53
Tb: 0.6667 0.3333 0.5000  6 Ho 3.49, 3 Tb 3.83
Ho: 0.5000 0.5000 0.7538  4 Ho 3.32, 6 Tb 3.41-3.53
Ho: 0.5000 0.0000 0.7538  4 Ho 3.32, 6 Tb 3.41-3.53
Ho: 0.5000 0.0000 0.2462  4 Ho 3.32, 6 Tb 3.41-3.53
Ho: 0.5000 0.5000 0.2462  4 Ho 3.32, 6 Tb 3.41-3.53
Ho: 0.0000 0.5000 0.2462  4 Ho 3.32, 6 Tb 3.41-3.53
Ho: 0.0000 0.5000 0.7538  4 Ho 3.32, 6 Tb 3.41-3.53
La: 0.0000 0.0000 0.0000  8 Tb 3.83-4.04

Record 10
A plane-wave DFT calculation with GGA-PBE was carried out for a relaxed YTiPb2 crystal.

As for the space group: I-42d. The calculation puts the total energy at -5.200 eV/atom. The crystal system is tetragonal.

Cell lengths 4.6845, 4.6845, 11.0141 Å; angles 77.72, 77.72, 90.00 degrees
Closest atoms and distances in Å follow each position.
Element x y z (fractional)
Y: 0.0000 0.0000 0.0000  4 Pb 3.15, 4 Ti 3.31
Y: 0.7500 0.2500 0.5000  4 Pb 3.15, 4 Ti 3.31
Ti: 0.5000 0.5000 0.0000  4 Pb 3.06, 4 Y 3.31
Ti: 0.2500 0.7500 0.5000  4 Pb 3.06, 4 Y 3.31
Pb: 0.5995 0.1250 0.2500  2 Ti 3.06, 2 Pb 3.15, 2 Y 3.15
Pb: 0.1505 0.6250 0.2500  2 Ti 3.06, 2 Pb 3.15, 2 Y 3.15
Pb: 0.3750 0.4005 0.7500  2 Ti 3.06, 2 Pb 3.15, 2 Y 3.15
Pb: 0.8750 0.8495 0.7500  2 Ti 3.06, 2 Pb 3.15, 2 Y 3.15

Record 11
A plane-wave DFT calculation with GGA-PBE was carried out for a relaxed Nd4Ho8Sc crystal.

As for the space group: Pm-3m. The calculation puts the total energy at -4.239 eV/atom. The crystal system is cubic.

Cell lengths 10.9508, 10.9508, 7.7424 Å; angles 90.00, 135.01, 120.00 degrees
Closest atoms and distances in Å follow each position.
Element x y z (fractional)
Ho: 0.9999 0.2425 0.2424  4 Nd 3.25-3.39, 1 Sc 3.45
Ho: 0.0001 0.7575 0.7576  4 Nd 3.25-3.39, 1 Sc 3.45
Ho: 0.4849 0.2425 0.2424  4 Nd 3.25-3.39, 1 Sc 3.45
Ho: 0.5151 0.7575 0.7576  4 Nd 3.25-3.39, 1 Sc 3.45
Ho: 0.0001 0.2426 0.7576  4 Nd 3.25-3.39, 1 Sc 3.45
Ho: 0.9999 0.7574 0.2424  4 Nd 3.25-3.39, 1 Sc 3.45
Ho: 0.4845 0.2423 0.7268  4 Nd 3.25-3.39, 1 Sc 3.46
Ho: 0.5155 0.7577 0.2732  4 Nd 3.25-3.39, 1 Sc 3.46
Nd: 0.5000 0.5000 0.0000  8 Ho 3.39
Nd: 0.0000 0.5000 0.0000  8 Ho 3.39
Nd: 0.5000 0.0000 0.0000  8 Ho 3.39
Nd: 0.0000 0.0000 0.0000  8 Ho 3.25
Sc: 0.0000 0.5000 0.5000  8 Ho 3.45-3.46

Record 12
A plane-wave DFT calculation with GGA-PBE was carried out for a relaxed Na3ClF crystal.

The value obtained for the polymorph energy (0 for the lowest one) is 0 meV/atom. The calculation puts the formation energy (no corrections) at -1.55 eV/atom. As for the space group: Pm-3m. The crystal system is cubic.

Cell lengths 4.7942, 4.7942, 4.7942 Å; angles 90.00, 90.00, 90.00 degrees
Closest atoms and distances in Å follow each position.
Element x y z (fractional)
Na: 0.5000 0.0000 0.0000  2 F 2.40
Na: 0.0000 0.0000 0.5000  2 F 2.40
Na: 0.0000 0.5000 0.0000  2 F 2.40
F: 0.0000 0.0000 0.0000  6 Na 2.40
Cl: 0.5000 0.5000 0.5000  12 Na 3.39